[1]
12
Lattice="-1.721 4.941 -0.930 1.337 -2.970 -4.198 -5.005 -2.551 1.489" Properties=species:S:1:pos:R:3 comment="Na3TmNi2O6, relaxed, DFT PBE with a Hubbard U" spacegroup=C2/m pbc="T T T"
O -3.702 -1.944 -3.387
O -0.567 -1.532 -1.449
O -4.822 0.952 -2.190
O -1.252 0.883 -3.308
O -4.136 -1.463 -0.331
O -1.686 1.364 -0.252
Tm 0.000 0.000 0.000
Ni 0.316 -0.329 -3.107
Ni -0.700 2.300 -2.021
Na -2.694 -0.290 -1.819
Na -3.697 2.304 -0.748
Na -1.691 -2.884 -2.891



[2]
8
Lattice="-0.422 2.102 -2.430 1.845 -3.702 -3.523 -5.740 -0.600 0.478" Properties=species:S:1:pos:R:3 comment="Na2TmNiO4, relaxed, DFT PBE with a Hubbard U" spacegroup=P2/m pbc="T T T"
O 0.203 -2.919 -2.560
O -3.327 -2.313 -3.584
O -0.991 0.114 -1.891
O -4.098 -1.383 -0.485
Na -3.081 0.751 -0.976
Na -1.948 -2.151 -1.522
Tm 0.711 -0.800 -2.977
Ni 0.000 0.000 0.000



[3]
16
Lattice="6.268 0.000 0.000 0.000 6.556 0.196 -3.134 -3.130 4.437" Properties=species:S:1:pos:R:3 comment="Na4UNi3O8, relaxed, DFT PBE with a Hubbard U" spacegroup=R-3m pbc="T T T"
Na 1.567 -1.565 2.218
Na 3.134 0.000 0.000
Na 0.000 0.000 0.000
Na -1.567 -1.565 2.218
O 1.510 1.813 0.132
O 0.000 3.235 2.202
O 3.134 3.075 2.169
O 4.759 1.813 0.132
O 1.624 1.613 4.501
O 3.134 0.192 2.431
O -1.624 1.613 4.501
O 0.000 0.352 2.464
Ni 3.134 3.278 0.098
Ni 1.567 1.713 2.316
Ni -1.567 1.713 2.316
U 0.000 3.278 0.098



[4]
12
Lattice="5.474 -0.006 0.016 -2.741 4.739 0.016 -0.909 -1.574 5.504" Properties=species:S:1:pos:R:3 comment="Na3UNi2O6, relaxed, DFT PBE with a Hubbard U" spacegroup=C2/m pbc="T T T"
Ni 2.734 1.577 0.016
Ni -0.001 3.157 0.016
Na -1.744 3.114 2.768
Na 3.569 0.045 2.768
Na 0.912 1.580 2.768
O -0.008 3.162 4.374
O 0.007 0.012 4.348
O -0.918 1.586 1.162
O 1.818 3.148 1.189
O 1.833 -0.002 1.162
O 2.743 1.573 4.374
U 0.000 0.000 0.000



no.,calculated total energy (eV/cell)
1,-63.014
2,-44.485
3,-92.808
4,-73.604